DFT (GGA-PBE) results for a geometry-optimized Er2Tl3HgSe6 structure.

extended XYZ file:
```
12
Lattice="-2.6103 -3.6503 5.6957 5.0966 -2.9776 -4.2117 4.4981 5.1881 3.8513" Properties=species:S:1:pos:R:3 pbc="T T T"
Hg 0.0000 0.0000 0.0000
Se 2.7672 -3.7383 1.8988
Er 2.5307 -3.2016 -0.9132
Se 4.1120 -1.0528 5.8554
Tl 3.4922 -0.7199 2.6677
Se 4.2172 2.2984 3.4365
Se 2.8724 -0.3871 -0.5200
Se 0.2357 -0.6172 2.8696
Se 6.7487 -0.8226 2.4657
Tl 6.0451 -0.4971 -0.6142
Er -0.0444 -3.4264 2.3972
Tl 0.9393 -0.9428 5.9495
```

Calculated values
- E_form (uncorrected): -89.9 kJ per mole of atoms
- Total magnetization: 0.000 μB per atom

---

DFT (GGA-PBE) results for a geometry-optimized BSbTe2Ru structure.

extended XYZ file:
```
5
Lattice="4.7168 0.0000 0.0000 0.0000 4.7168 0.0000 0.0000 0.0000 4.6093" Properties=species:S:1:pos:R:3 pbc="T T T"
Te 0.0000 2.3584 0.0000
B 0.0000 0.0000 0.0000
Sb 0.0000 0.0000 2.3047
Ru 2.3584 2.3584 2.3047
Te 2.3584 0.0000 0.0000
```

Calculated values
- E_form (uncorrected): 102.3 kJ per mole of atoms
- Total magnetization: 0.000 μB per atom
- Energy above the most stable polymorph in this dataset: 0.000 eV/atom

---

DFT (GGA-PBE) results for a geometry-optimized K2BaSnSe4 structure.

extended XYZ file:
```
16
Lattice="9.0924 -0.0588 -0.2995 -0.0652 9.0923 -0.2995 -4.6414 -4.6446 6.6894" Properties=species:S:1:pos:R:3 pbc="T T T"
Se 0.1438 0.1215 2.9115
Se 0.2794 4.1186 3.0534
Ba 6.7391 2.1650 2.8954
Sn 4.3858 4.3889 6.0903
Se 2.5255 -2.7914 6.3816
Se 2.3143 2.3383 5.9566
Se 4.1063 0.2703 3.0369
K 2.2255 -2.3517 3.1949
Sn 2.1929 2.1944 3.0452
Se 2.0715 2.0506 0.1338
Se 1.8603 7.1802 -0.2913
K -2.3857 6.7699 3.0452
K 4.5135 4.5169 -0.2995
K 4.4810 9.0629 -0.4493
Se 4.2421 4.2674 3.1790
Ba 4.4184 -0.1573 6.2401
```

Calculated values
- E_form (uncorrected): -101.5 kJ per mole of atoms
- Total magnetization: 0.000 μB per atom

---

DFT (GGA-PBE) results for a geometry-optimized Ba2NdMnTe5 structure.

extended XYZ file:
```
18
Lattice="4.6226 0.0000 0.0000 -2.3113 10.0759 0.0000 0.0000 0.0000 14.3091" Properties=species:S:1:pos:R:3 pbc="T T T"
Te 0.0000 10.0419 3.7308
Ba 0.0000 2.3895 4.8593
Te 2.3113 9.4078 7.3098
Te 0.0000 6.1730 9.7195
Te 0.0000 6.2596 5.3174
Te 2.3113 3.8162 12.4719
Mn 0.0000 8.8446 6.0439
Te 0.0000 0.6680 0.1553
Nd 0.0000 3.9541 0.4361
Ba 2.3113 7.6864 12.0138
Te 0.0000 7.0317 0.2166
Nd 2.3113 6.1218 7.5906
Te 2.3113 0.0340 10.8854
Te 2.3113 3.0441 7.3711
Ba 2.3113 7.5342 2.7751
Te 2.3113 3.9029 2.5650
Ba 0.0000 2.5416 9.9297
Mn 2.3113 1.2312 13.1984
```

Calculated values
- E_form (uncorrected): -117.8 kJ per mole of atoms
- Total magnetization: 0.444 μB per atom

---

DFT (GGA-PBE) results for a geometry-optimized Sr2ScGaSe5 structure.

extended XYZ file:
```
18
Lattice="-2.3199 3.3061 0.2709 -2.5349 -4.8846 7.6611 9.1454 5.8631 6.7643" Properties=species:S:1:pos:R:3 pbc="T T T"
Sr 1.9729 1.0440 4.1544
Se 1.3220 3.2435 1.9806
Ga 6.9358 6.7374 7.4147
Sr -2.2913 0.2723 7.2973
Sr 5.3601 3.2290 6.4952
Se 5.4346 5.5536 9.0058
Se 1.1292 0.1883 7.3718
Sc -1.3200 -1.2082 3.4417
Se 3.3664 1.2962 13.0099
Se 3.9254 2.0124 9.0556
Se 0.5217 1.9573 10.8234
Se 0.0422 -0.0619 1.1164
Se 2.3530 3.6490 5.8609
Sc 1.4986 2.8566 8.2132
Ga 0.7345 -0.2861 9.7812
Se -1.1844 1.2787 4.4945
Se -2.5599 -2.2477 5.5089
Sr 3.5823 4.0513 11.4772
```

Calculated values
- E_form (uncorrected): -151.5 kJ per mole of atoms
- Total magnetization: 0.000 μB per atom

---

DFT (GGA-PBE) results for a geometry-optimized LaEuAsAu structure.

extended XYZ file:
```
4
Lattice="-3.9514 2.7011 2.2646 -4.8216 -0.0288 -2.1883 -3.9652 -2.5930 2.3646" Properties=species:S:1:pos:R:3 pbc="T T T"
As -6.3691 0.0396 1.2204
Au 0.0000 0.0000 0.0000
La -3.1845 0.0198 0.6102
Eu -9.5536 0.0594 1.8306
```

Calculated values
- Total magnetization: 1.906 μB per atom
- Electronic total energy: -27.0 eV per formula unit

---

DFT (GGA-PBE) results for a geometry-optimized La3SmO structure.

extended XYZ file:
```
5
Lattice="-3.0149 4.2117 -0.2633 -4.1646 -2.9174 1.0207 0.6808 0.8048 5.0780" Properties=species:S:1:pos:R:3 pbc="T T T"
O 0.0000 0.0000 0.0000
La -2.0823 -1.4587 0.5104
La -1.5074 2.1058 -0.1316
Sm -3.2493 1.0496 2.9177
La 0.3404 0.4024 2.5390
```

Calculated values
- E_form (uncorrected): -110.0 kJ per mole of atoms
- Total magnetization: 0.000 μB per atom

---

DFT (GGA-PBE) results for a geometry-optimized Ac12Tl5Cd2 structure.

extended XYZ file:
```
19
Lattice="-5.2417 3.2012 -5.0804 1.9148 -9.9559 -1.9961 -7.4365 -3.3522 5.5603" Properties=species:S:1:pos:R:3 pbc="T T T"
Tl -8.5694 -4.3602 -0.1588
Ac -5.8496 -10.6697 -0.6878
Tl -5.8946 -6.3090 2.1063
Ac -6.0826 -3.3769 4.1478
Ac -6.0352 -9.5529 3.3844
Cd -3.5250 2.1528 -3.4165
Tl -2.1940 -5.7467 -1.3575
Ac -4.9138 0.5628 -0.8284
Ac -4.7282 -0.5540 -4.9006
Tl -4.8688 -3.7978 -3.6225
Ac -2.9165 -8.3260 0.9365
Tl -3.7183 -1.6761 2.7802
Ac -8.6985 -7.9264 0.8031
Ac -5.5770 -6.7011 -1.6421
Ac -7.8469 -1.7809 -2.4528
Ac -4.6808 -6.7300 -5.6641
Ac -5.1863 -3.4057 0.1259
Ac -2.0649 -2.1805 -2.3193
Cd -1.7167 1.0484 -1.6639
```

Calculated values
- Total magnetization: 0.000 μB per atom
- Electronic total energy: -65.3 eV per formula unit

---

DFT (GGA-PBE) results for a geometry-optimized FeRe2Pb structure.

extended XYZ file:
```
4
Lattice="4.5125 0.0000 0.0000 2.2563 3.9080 0.0000 2.2563 1.3027 3.6845" Properties=species:S:1:pos:R:3 pbc="T T T"
Re 0.0000 0.0000 0.0000
Re 6.7688 3.9080 2.7634
Fe 4.5125 2.6053 1.8422
Pb 2.2563 1.3027 0.9211
```

Calculated values
- Total magnetization: 0.689 μB per atom
- Electronic total energy: -33.7 eV per formula unit

---

DFT (GGA-PBE) results for a geometry-optimized BeRe2Tc structure.

extended XYZ file:
```
8
Lattice="-1.5997 0.9441 -3.2124 2.0431 -2.5453 -1.7655 -6.0045 -6.7384 -1.1335" Properties=species:S:1:pos:R:3 pbc="T T T"
Re -2.1774 -1.4529 -2.3750
Be -1.8699 -5.0422 -2.6939
Re -4.2024 -6.3465 -5.1305
Re -4.2501 -5.7627 -2.7920
Be 0.2217 -0.8006 -2.4889
Tc -3.6913 -3.2975 -3.4174
Re -0.4923 -3.1172 -1.9251
Tc 0.0000 0.0000 0.0000
```

Calculated values
- Total magnetization: 0.000 μB per atom
- Electronic total energy: -36.6 eV per formula unit

---

DFT (GGA-PBE) results for a geometry-optimized Nd2Y6Tm3Sc structure.

extended XYZ file:
```
12
Lattice="6.1327 0.0004 0.0068 -3.0645 5.3121 0.0068 -1.0324 -1.7876 11.5780" Properties=species:S:1:pos:R:3 pbc="T T T"
Y 2.0511 3.5515 2.9274
Nd 3.0660 1.7715 0.0068
Y 2.0221 -0.0056 2.9174
Y 0.0136 3.5305 8.6741
Y 3.0512 1.7762 8.6741
Tm -2.0528 3.5359 5.7958
Y -1.0154 1.7487 2.9174
Tm 4.0886 -0.0110 5.7958
Tm 1.0179 1.7625 5.7958
Y -0.0154 -0.0266 8.6641
Nd 0.0022 3.5410 0.0068
Sc 0.0000 0.0000 0.0000
```

Calculated values
- Total magnetization: 0.000 μB per atom
- Electronic total energy: -67.7 eV per formula unit

---

DFT (GGA-PBE) results for a geometry-optimized LaZr2W structure.

extended XYZ file:
```
4
Lattice="-2.5026 2.0720 -1.4114 -2.4271 -2.5019 0.6307 -1.3582 3.0556 6.8942" Properties=species:S:1:pos:R:3 pbc="T T T"
Zr -2.7412 0.4066 1.0122
Zr -1.3212 2.9725 6.7066
W -3.5489 2.2239 5.1124
La -0.7139 1.6060 3.6235
```

Calculated values
- Total magnetization: 0.000 μB per atom
- Energy above the most stable polymorph in this dataset: 0.140 eV/atom

---

DFT (GGA-PBE) results for a geometry-optimized Nd4Y4Th structure.

extended XYZ file:
```
9
Lattice="-1.4653 -4.8164 0.9050 2.8287 -2.2115 7.2655 -7.1827 0.1735 3.7495" Properties=species:S:1:pos:R:3 pbc="T T T"
Y -2.8397 -1.5647 1.5301
Nd -5.3490 -5.4286 5.8141
Nd -2.4181 -3.9006 4.2365
Y 0.9321 -4.6838 5.4924
Y -6.7514 -2.1706 6.4276
Th 0.0000 0.0000 0.0000
Nd -3.4012 -2.9538 7.6836
Nd -0.4703 -1.4257 6.1060
Y -2.9796 -5.2896 10.3899
```

Calculated values
- Total magnetization: 0.000 μB per atom
- Electronic total energy: -52.1 eV per formula unit

---

DFT (GGA-PBE) results for a geometry-optimized RbSeIBr2 structure.

extended XYZ file:
```
5
Lattice="-0.8478 -5.2794 -2.0450 4.3828 0.6970 -3.6163 3.4986 -2.0511 3.8447" Properties=species:S:1:pos:R:3 pbc="T T T"
Br 2.1914 0.3485 -1.8082
I 1.7493 -1.0255 1.9224
Se 0.0000 0.0000 0.0000
Rb 3.5168 -3.3167 -0.9083
Br -0.4239 -2.6397 -1.0225
```

Calculated values
- E_form (uncorrected): -61.8 kJ per mole of atoms
- Total magnetization: 0.000 μB per atom
- Energy above the most stable polymorph in this dataset: 0.000 eV/atom

---

DFT (GGA-PBE) results for a geometry-optimized CaHg2Ge structure.

extended XYZ file:
```
4
Lattice="4.6507 0.0000 0.0000 0.0000 4.5229 0.0000 0.0000 0.0000 4.5229" Properties=species:S:1:pos:R:3 pbc="T T T"
Ge 2.3254 2.2615 2.2615
Hg 0.0000 2.2615 0.0000
Hg 0.0000 0.0000 2.2615
Ca 2.3254 0.0000 0.0000
```

Calculated values
- Total magnetization: 0.000 μB per atom
- Electronic total energy: -8.3 eV per formula unit

---

DFT (GGA-PBE) results for a geometry-optimized SiPd3Au structure.

extended XYZ file:
```
5
Lattice="-1.4030 0.2242 4.7260 -2.6209 -4.1407 -0.5816 3.9390 -2.6753 1.2963" Properties=species:S:1:pos:R:3 pbc="T T T"
Pd 1.9695 -1.3377 0.6482
Si -0.0425 -3.2959 2.7203
Au 0.0000 0.0000 0.0000
Pd -1.3105 -2.0704 -0.2908
Pd -0.7015 0.1121 2.3630
```

Calculated values
- E_form (uncorrected): 117.9 kJ per mole of atoms
- Total magnetization: 0.000 μB per atom
- Energy above the most stable polymorph in this dataset: 1.614 eV/atom

---

DFT (GGA-PBE) results for a geometry-optimized Na3Sm2TmS6 structure.

extended XYZ file:
```
12
Lattice="-0.6118 1.4466 -6.7998 -1.9213 -6.2563 2.4232 -5.3461 3.9118 2.5080" Properties=species:S:1:pos:R:3 pbc="T T T"
S -6.2642 -1.8962 0.1003
S -2.0404 -1.5042 1.0274
Na -4.3759 -3.0154 2.1386
S -3.1203 -2.7230 -2.7172
Sm -1.0484 -1.1217 -3.7247
Na -3.9396 -0.4490 -0.9343
Na -3.5033 2.1175 -4.0073
S -4.7588 1.8251 0.8486
S -1.6150 0.9983 -1.9690
Tm 0.0000 0.0000 0.0000
Sm -1.4847 -3.6880 -0.6519
S -5.8388 0.6063 -2.8960
```

Calculated values
- E_form (uncorrected): -176.2 kJ per mole of atoms
- Total magnetization: 0.000 μB per atom

---

DFT (GGA-PBE) results for a geometry-optimized CsAl2AuCl8 structure.

extended XYZ file:
```
12
Lattice="6.5658 0.0000 0.0000 3.2829 5.6862 0.0000 3.2829 1.8954 9.8065" Properties=species:S:1:pos:R:3 pbc="T T T"
Cl 5.3482 1.9230 1.6614
Cl 7.7835 5.6586 8.1451
Cl 8.7923 3.6702 1.6614
Au 0.0000 0.0000 0.0000
Cl 4.3394 3.9114 8.1451
Cl 7.5746 1.8024 8.1451
Cl 5.5571 5.7792 1.6614
Cl 3.2829 1.8954 4.4744
Cs 6.5658 3.7908 4.9032
Cl 9.8488 5.6862 5.3321
Al 3.2829 1.8954 2.3098
Al 9.8488 5.6862 7.4967
```

Calculated values
- E_form (uncorrected): -132.9 kJ per mole of atoms
- Total magnetization: 0.000 μB per atom

---

DFT (GGA-PBE) results for a geometry-optimized NpZnFeRu structure.

extended XYZ file:
```
4
Lattice="-1.0615 -4.3308 0.2368 3.1515 -3.0236 0.9299 -0.0025 -2.0855 3.9484" Properties=species:S:1:pos:R:3 pbc="T T T"
Zn 1.0437 -4.7200 2.5575
Fe 1.5656 -7.0799 3.8363
Ru 0.5219 -2.3600 1.2788
Np 0.0000 0.0000 0.0000
```

Calculated values
- Total magnetization: 0.424 μB per atom
- Electronic total energy: -31.9 eV per formula unit

---

DFT (GGA-PBE) results for a geometry-optimized PrErAu structure.

extended XYZ file:
```
12
Lattice="-0.0910 -5.0145 -0.1366 1.5993 -0.2702 8.8503 -7.2394 0.0957 1.3111" Properties=species:S:1:pos:R:3 pbc="T T T"
Au -0.9749 -3.8980 5.5365
Au -4.7562 -1.2909 4.4883
Pr -6.0839 -1.3422 7.2536
Er -1.9022 -1.3333 4.1411
Er 0.3332 -3.9952 8.2297
Pr -3.4996 -3.7596 2.1391
Au -1.6195 -1.2572 1.1598
Pr -2.2315 -1.4293 7.8858
Er -3.8289 -3.8557 5.8837
Er -6.0643 -1.1938 1.7951
Pr 0.3528 -3.8468 2.7712
Au -4.1115 -3.9318 8.8650
```

Calculated values
- Total magnetization: 0.000 μB per atom
- Energy above the most stable polymorph in this dataset: 0.000 eV/atom